DFT (PBE with a Hubbard U) results for crystalline ZnFeSiO4 at its relaxed geometry.

a = 5.231 Å, b = 5.231 Å, c = 6.148 Å
α = 90.00°, β = 90.00°, γ = 112.89°
Atoms (fractional coordinates):
Zn (0.161, 0.839, 0.750)
Zn (0.839, 0.161, 0.250)
Fe (0.500, 0.500, 0.000)
Fe (0.500, 0.500, 0.500)
Si (0.149, 0.851, 0.250)
Si (0.851, 0.149, 0.750)
O (0.196, 0.253, 0.750)
O (0.253, 0.196, 0.250)
O (0.260, 0.740, 0.034)
O (0.260, 0.740, 0.466)
O (0.740, 0.260, 0.534)
O (0.740, 0.260, 0.966)
O (0.747, 0.804, 0.750)
O (0.804, 0.747, 0.250)

VASP energy = -6.596 eV/atom
magnetization = 4.00 μB/f.u.